1.
A relaxed VCrGa2Re crystal, computed with GGA-PBE.

Summary:
Calculated volume, Å³/cell: 84
M_tot, Bohr magnetons per cell: 1.0
Energy relative to the elements, kJ per mole of atoms: 131

abc: 4.629 4.629 3.912
angles: 90.00 90.00 90.00
Fractional positions:
V1 0.000 0.000 0.000
Cr1 0.000 0.000 0.500
Ga1 0.000 0.500 0.000
Ga2 0.500 0.000 0.000
Re1 0.500 0.500 0.500

2.
A relaxed LiPmRuRh crystal, computed with GGA-PBE.

Summary:
Calculated volume, Å³/cell: 70
M_tot, Bohr magnetons per cell: 1.2
Energy relative to the elements, kJ per mole of atoms: 1

abc: 4.623 4.623 4.623
angles: 60.00 60.00 60.00
Fractional positions:
Li1 0.000 0.000 0.000
Pm1 0.750 0.750 0.750
Ru1 0.500 0.500 0.500
Rh1 0.250 0.250 0.250

3.
A relaxed EuZr2V crystal, computed with GGA-PBE.

Summary:
Calculated volume, Å³/cell: 95
M_tot, Bohr magnetons per cell: 6.3
Energy relative to the elements, kJ per mole of atoms: 43

abc: 10.878 10.878 10.878
angles: 16.94 16.94 16.94
Fractional positions:
Eu1 0.000 0.000 0.000
Zr1 0.100 0.100 0.100
Zr2 0.900 0.900 0.900
V1 0.500 0.500 0.500

4.
A relaxed Y2Cd2Pt crystal, computed with GGA-PBE.

Summary:
E above lowest polymorph, kJ per mole of atoms: 0.0
Calculated volume, Å³/cell: 241
M_tot, Bohr magnetons per cell: 0.0
Energy relative to the elements, kJ per mole of atoms: -36

abc: 7.321 7.321 4.502
angles: 90.00 90.00 90.00
Fractional positions:
Y1 0.174 0.326 0.000
Y2 0.326 0.826 0.000
Y3 0.674 0.174 0.000
Y4 0.826 0.674 0.000
Cd1 0.134 0.634 0.500
Cd2 0.366 0.134 0.500
Cd3 0.634 0.866 0.500
Cd4 0.866 0.366 0.500
Pt1 0.000 0.000 0.500
Pt2 0.500 0.500 0.500

5.
A relaxed Ag4BrCl6 crystal, computed with GGA-PBE.

Summary:
Energy relative to the elements, uncorrected, eV per atom: -0.307
Calculated volume, Å³/cell: 304
M_tot, Bohr magnetons per cell: 0.5

abc: 7.092 7.092 8.109
angles: 120.22 120.22 78.54
Fractional positions:
Ag1 0.000 0.000 0.000
Ag2 0.287 0.287 0.957
Ag3 0.300 0.759 0.448
Ag4 0.759 0.300 0.448
Br1 0.924 0.924 0.292
Cl1 0.268 0.875 0.774
Cl2 0.293 0.293 0.321
Cl3 0.309 0.696 0.123
Cl4 0.696 0.309 0.123
Cl5 0.712 0.712 0.652
Cl6 0.875 0.268 0.774

6.
A relaxed Be3AlB crystal, computed with GGA-PBE.

Summary:
E above lowest polymorph, kJ per mole of atoms: 140.0
Calculated volume, Å³/cell: 79
M_tot, Bohr magnetons per cell: 0.0
Energy relative to the elements, kJ per mole of atoms: 179

abc: 4.289 4.289 4.289
angles: 90.00 90.00 90.00
Fractional positions:
Be1 0.000 0.000 0.500
Be2 0.000 0.500 0.000
Be3 0.500 0.000 0.000
Al1 0.000 0.000 0.000
B1 0.500 0.500 0.500